VASP calculation (GGA-PBE) on TlHg2Cl6 after structural relaxation.

Summary:
crystal system: monoclinic
E above lowest polymorph: 0 meV/atom
uncorrected energy: -2.139 eV/atom
formation energy (no corrections): -5.20 eV per formula unit

The structure in POSCAR format:
```
TlHg2Cl6
1.0
6.8244 -2.1620 0.0000
6.8244 2.1620 0.0000
-4.0704 0.0000 9.8569
Tl Hg Cl
1 2 6
Direct
0.0000 0.0000 0.0000 Tl
0.1713 0.1713 0.7156 Hg
0.8287 0.8287 0.2844 Hg
0.0049 0.0049 0.2656 Cl
0.3028 0.3028 0.3969 Cl
0.3469 0.3469 0.9359 Cl
0.6531 0.6531 0.0641 Cl
0.6972 0.6972 0.6031 Cl
0.9951 0.9951 0.7344 Cl
```